Compound: KNa2MgAg
Source: the Alexandria database
Functional: GGA-PBE
Structure: optimized geometry

## Properties
- Volume: 36.38 Å³ per atom
- Spin magnetization: 0.0000 μB/atom
- Density: 2.0 Mg/m³
- Energy of formation: 0.062 eV/atom
- DOS at the Fermi energy: 0.5706 states/eV/atom

The structure in CIF format:
```
data_KNa2MgAg
_cell_length_a 5.776
_cell_length_b 5.776
_cell_length_c 5.453
_cell_angle_alpha 90.00
_cell_angle_beta 90.00
_cell_angle_gamma 90.00
_space_group_name_H-M_alt 'P 4/m m m'
_space_group_IT_number 123
_space_group_name_Hall '-P 4 2'
loop_
_atom_site_label
_atom_site_fract_x
_atom_site_fract_y
_atom_site_fract_z
_atom_site_occupancy
K1 0.000 0.000 0.000 1
Na1 0.000 0.500 0.500 1
Mg1 0.500 0.500 0.000 1
Ag1 0.500 0.500 0.500 1
```